Entry from the Alexandria database: an optimized crystal structure of Mn2FeSnO4 (PBE+U).

a = 5.7045 Å, b = 3.2444 Å, c = 5.8849 Å
α = 90.00°, β = 110.47°, γ = 90.00°
With the nearest neighbours (Å) after each atom.
Sites, in units of the cell vectors:
Mn: 0.0000 0.0000 0.0000  6 O 2.20-2.29
Mn: 0.5000 0.5000 0.0000  2 O 2.15
Fe: 0.0000 0.5000 0.5000  4 O 2.20
Sn: 0.5000 0.0000 0.5000  6 O 2.47-2.49
O: 0.2119 0.0000 0.7345  2 Fe 2.20, 3 Mn 2.29-2.44
O: 0.2471 0.5000 0.1979  3 Mn 2.15-2.20
O: 0.7529 0.5000 0.8021  3 Mn 2.15-2.20
O: 0.7881 0.0000 0.2655  2 Fe 2.20, 3 Mn 2.29-2.44

Output
calculated density: 5.67 g/cm³
calculated total energy: -6.817 eV/atom
density of states at the Fermi level: 0.001 states/eV/atom